# 1
Here is a relaxed structure of ErTh2NpN4 from the Alexandria database. Energies are from PBE-GGA.

- Energy relative to the elements, uncorrected: -1465 meV/atom

Unit cell a=6.117 b=3.542 c=6.171 alpha=90.00 beta=109.19 gamma=90.00
Space group P2/m (No. 10)
One atom of each set of equivalent atoms:
Er 0.000 0.000 0.000 x1
Th 0.000 0.500 0.500 x1
Th 0.500 0.000 0.500 x1
Np 0.500 0.500 0.000 x1
N 0.250 0.500 0.231 x2
N 0.260 0.000 0.773 x2


# 2
Here is a relaxed structure of ErTm2NpN4 from the Alexandria database. Energies are from PBE-GGA.

- Energy relative to the elements, uncorrected: -1620 meV/atom

Unit cell a=5.904 b=3.415 c=5.905 alpha=90.00 beta=109.00 gamma=90.00
Space group P2/m (No. 10)
One atom of each set of equivalent atoms:
Er 0.000 0.000 0.000 x1
Tm 0.500 0.000 0.500 x1
Tm 0.500 0.500 0.000 x1
Np 0.000 0.500 0.500 x1
N 0.245 0.500 0.258 x2
N 0.249 0.000 0.747 x2


# 3
Here is a relaxed structure of Er2TmNpN4 from the Alexandria database. Energies are from PBE-GGA.

- Energy relative to the elements, uncorrected: -1613 meV/atom

Unit cell a=5.912 b=3.422 c=5.913 alpha=90.00 beta=108.98 gamma=90.00
Space group P2/m (No. 10)
One atom of each set of equivalent atoms:
Er 0.000 0.000 0.000 x1
Er 0.500 0.500 0.000 x1
Tm 0.000 0.500 0.500 x1
Np 0.500 0.000 0.500 x1
N 0.253 0.500 0.255 x2
N 0.256 0.000 0.741 x2


# 4
Here is a relaxed structure of Y2ErNpN4 from the Alexandria database. Energies are from PBE-GGA.

- Energy relative to the elements, uncorrected: -1567 meV/atom

Unit cell a=5.961 b=3.455 c=5.967 alpha=90.00 beta=108.99 gamma=90.00
Space group P2/m (No. 10)
One atom of each set of equivalent atoms:
Y 0.000 0.000 0.000 x1
Y 0.500 0.500 0.000 x1
Er 0.000 0.500 0.500 x1
Np 0.500 0.000 0.500 x1
N 0.257 0.000 0.737 x2
N 0.257 0.500 0.260 x2


Number 1: uncorrected energy -0.711 Ry/atom. Number 2: uncorrected energy -0.668 Ry/atom. Number 3: uncorrected energy -0.668 Ry/atom. Number 4: uncorrected energy -0.701 Ry/atom.